No. 1
Li2ZnCd | PBE | optimized geometry

**Calculated total energy**: -1.70 eV/atom
**Formation enthalpy at 0 K**: -191 meV per atom
**Space group**: P2/m

abc: 3.3343 3.0639 7.1822
angles: 64.88 90.00 90.00
Last column: nearest neighbours and their distance in Å.
Positions (direct):
Zn 0.5000 0.2500 0.2500  8 Li 2.71-2.72
Li 0.0000 0.9804 0.0194  4 Zn 2.71-2.72, 4 Cd 2.86-2.87, 1 Li 3.00
Li 0.0000 0.5196 0.4806  4 Zn 2.71-2.72, 4 Cd 2.86-2.87, 1 Li 3.00
Cd 0.5000 0.7500 0.7500  8 Li 2.86-2.87, 2 Cd 3.06

=====

No. 2
LiZn3Cd3 | PBE | optimized geometry

**Calculated total energy**: -0.85 eV/atom
**Formation enthalpy at 0 K**: 357 meV per atom
**Space group**: Pm-3n

abc: 7.4839 7.4839 7.4839
angles: 90.00 90.00 90.00
Last column: nearest neighbours and their distance in Å.
Positions (direct):
Zn 0.0000 0.2500 0.5000  4 Cd 2.65
Zn 0.0000 0.7500 0.5000  4 Cd 2.65
Zn 0.5000 0.0000 0.7500  4 Cd 2.65
Zn 0.7500 0.5000 0.0000  4 Cd 2.65
Zn 0.5000 0.0000 0.2500  4 Cd 2.65
Zn 0.2500 0.5000 0.0000  4 Cd 2.65
Li 0.5000 0.5000 0.5000  12 Zn 4.18, 12 Cd 4.18
Li 0.0000 0.0000 0.0000  12 Cd 4.18, 12 Zn 4.18
Cd 0.2500 0.0000 0.5000  4 Zn 2.65
Cd 0.0000 0.5000 0.2500  4 Zn 2.65
Cd 0.5000 0.7500 0.0000  4 Zn 2.65
Cd 0.7500 0.0000 0.5000  4 Zn 2.65
Cd 0.0000 0.5000 0.7500  4 Zn 2.65
Cd 0.5000 0.2500 0.0000  4 Zn 2.65

=====

No. 3
Li3Zn2Cd7 | PBE | optimized geometry

**Calculated total energy**: -1.32 eV/atom
**Formation enthalpy at 0 K**: -93 meV per atom
**Space group**: P-1

abc: 5.1331 5.2281 10.5933
angles: 75.14 111.78 108.99
Last column: nearest neighbours and their distance in Å.
Positions (direct):
Li 0.5000 0.5000 0.0000  10 Cd 2.95-3.19
Li 0.2351 0.5734 0.6504  3 Zn 2.82-2.98, 5 Cd 3.08-3.16
Li 0.7649 0.4266 0.3496  3 Zn 2.82-2.98, 5 Cd 3.08-3.16
Zn 0.3796 0.6505 0.3937  1 Zn 2.54, 3 Cd 2.69-2.82, 1 Li 2.82
Zn 0.6204 0.3495 0.6063  1 Zn 2.54, 3 Cd 2.69-2.82, 1 Li 2.82
Cd 0.6062 0.9596 0.1747  1 Zn 2.86, 5 Cd 3.01-3.14, 4 Li 3.05-3.19
Cd 0.1704 0.0473 0.4083  3 Zn 2.69-2.96, 2 Cd 2.92-2.96
Cd 0.0000 0.0000 0.0000  8 Cd 2.99-3.14, 2 Li 3.01
Cd 0.3938 0.0404 0.8253  1 Zn 2.86, 5 Cd 3.01-3.14, 4 Li 3.05-3.19
Cd 0.8967 0.5488 0.8475  1 Zn 2.71, 2 Li 2.95-2.98, 6 Cd 2.96-3.03
Cd 0.1033 0.4512 0.1525  1 Zn 2.71, 2 Li 2.95-2.98, 6 Cd 2.96-3.03
Cd 0.8296 0.9527 0.5917  3 Zn 2.69-2.96, 2 Cd 2.92-2.96

=====

No. 4
Li5Zn3Cd | PBE | optimized geometry

**Calculated total energy**: -1.61 eV/atom
**Formation enthalpy at 0 K**: -15 meV per atom
**Space group**: C2/m

abc: 6.0138 6.0138 10.9516
angles: 83.31 83.31 109.75
Last column: nearest neighbours and their distance in Å.
Positions (direct):
Li 0.8959 0.3886 0.3579  2 Zn 2.64-2.94, 1 Li 2.80
Li 0.2587 0.7413 0.0000  3 Zn 2.54-2.72
Li 0.6637 0.6637 0.1616  1 Li 2.56, 3 Zn 2.62-2.65, 1 Cd 2.65
Li 0.3485 0.3485 0.3311  3 Li 2.56-2.80, 4 Zn 2.58-2.77, 1 Cd 2.78
Li 0.6515 0.6515 0.6689  3 Li 2.56-2.80, 4 Zn 2.58-2.77, 1 Cd 2.78
Li 0.3363 0.3363 0.8384  1 Li 2.56, 3 Zn 2.62-2.65, 1 Cd 2.65
Li 0.3886 0.8959 0.3579  2 Zn 2.64-2.94, 1 Li 2.80
Li 0.7413 0.2587 0.0000  3 Zn 2.54-2.72
Li 0.1041 0.6114 0.6421  2 Zn 2.64-2.94, 1 Li 2.80
Li 0.6114 0.1041 0.6421  2 Zn 2.64-2.94, 1 Li 2.80
Zn 0.6702 0.6702 0.9189  2 Zn 2.61-2.65, 5 Li 2.63-2.77, 1 Cd 2.66
Zn 0.6667 0.6667 0.4319  2 Zn 2.48-2.56, 4 Li 2.58-2.65, 1 Cd 2.70
Zn 0.0000 0.0000 0.0000  4 Li 2.54-2.62, 2 Zn 2.61, 2 Cd 2.73
Zn 0.0000 0.0000 0.5000  2 Zn 2.56, 2 Li 2.73, 2 Cd 2.75
Zn 0.3298 0.3298 0.0811  2 Zn 2.61-2.65, 5 Li 2.63-2.77, 1 Cd 2.66
Zn 0.3333 0.3333 0.5681  2 Zn 2.48-2.56, 4 Li 2.58-2.65, 1 Cd 2.70
Cd 0.0061 0.0061 0.7503  4 Li 2.65-2.97, 4 Zn 2.66-2.75
Cd 0.9939 0.9939 0.2497  4 Li 2.65-2.97, 4 Zn 2.66-2.75

=====

No. 5
Li7Zn5Cd | PBE | optimized geometry

**Calculated total energy**: -1.73 eV/atom
**Formation enthalpy at 0 K**: -135 meV per atom
**Space group**: Cm

abc: 5.1180 6.9551 6.9551
angles: 82.19 69.23 69.23
Last column: nearest neighbours and their distance in Å.
Positions (direct):
Li 0.6694 0.3318 0.3318  4 Zn 2.75, 3 Li 2.77-2.96
Li 0.3461 0.6522 0.6522  6 Zn 2.75-2.81, 1 Li 2.96
Li 0.9946 0.3470 0.6635  5 Zn 2.74-2.88, 4 Li 2.89-3.03
Li 0.9946 0.6635 0.3470  5 Zn 2.74-2.88, 4 Li 2.89-3.03
Li 0.2797 0.2176 0.2176  4 Zn 2.65-2.67, 4 Li 2.66-2.77
Li 0.4995 0.8091 0.1922  5 Zn 2.64-2.74, 3 Li 2.66-2.91
Li 0.4995 0.1922 0.8091  5 Zn 2.64-2.74, 3 Li 2.66-2.91
Zn 0.4927 0.0011 0.5082  3 Zn 2.53-2.61, 7 Li 2.64-2.80
Zn 0.9990 0.0006 0.5062  3 Zn 2.53-2.60, 7 Li 2.65-2.77
Zn 0.4927 0.5082 0.0011  3 Zn 2.53-2.61, 7 Li 2.64-2.80
Zn 0.9990 0.5062 0.0006  3 Zn 2.53-2.60, 7 Li 2.65-2.77
Zn 0.7302 0.7746 0.7746  4 Zn 2.60-2.61, 6 Li 2.73-2.88
Cd 0.0030 0.9960 0.9960  10 Li 3.10-3.32, 6 Zn 3.22-3.43

=====

No. 6
Li2ZnCd | PBE | optimized geometry

**Calculated total energy**: -1.43 eV/atom
**Formation enthalpy at 0 K**: 73 meV per atom
**Space group**: Immm

abc: 6.0399 6.0399 6.0399
angles: 151.19 55.70 133.42
Last column: nearest neighbours and their distance in Å.
Positions (direct):
Li 0.2397 0.0000 0.2397  1 Zn 2.56, 1 Cd 2.78, 4 Li 2.83
Li 0.7603 0.0000 0.7603  1 Zn 2.56, 1 Cd 2.78, 4 Li 2.83
Zn 0.0000 0.0000 0.0000  2 Li 2.56, 4 Cd 2.82
Cd 0.5000 0.0000 0.5000  2 Li 2.78, 4 Zn 2.82, 2 Cd 3.01

=====

No. 7
Li2ZnCd | PBE | optimized geometry

**Calculated total energy**: -1.65 eV/atom
**Formation enthalpy at 0 K**: -147 meV per atom
**Space group**: P4mm

abc: 3.2661 3.2661 6.4950
angles: 90.00 90.00 90.00
Last column: nearest neighbours and their distance in Å.
Positions (direct):
Zn 0.0000 0.0000 0.4745  4 Li 2.67, 4 Cd 2.92
Li 0.0000 0.0000 0.0086  4 Li 2.86, 4 Cd 2.86, 1 Zn 3.03
Li 0.5000 0.5000 0.2670  4 Zn 2.67, 4 Li 2.86
Cd 0.5000 0.5000 0.7499  5 Li 2.86-3.14, 4 Zn 2.92

=====

No. 8
Li6Zn2Cd | PBE | optimized geometry

**Calculated total energy**: -1.81 eV/atom
**Formation enthalpy at 0 K**: -147 meV per atom
**Space group**: R-3m

abc: 5.3085 5.3103 5.3103
angles: 96.24 96.22 96.22
Last column: nearest neighbours and their distance in Å.
Positions (direct):
Li 0.1679 0.5000 0.8317  5 Li 2.62-2.71, 2 Zn 2.92-2.93
Li 0.8321 0.1683 0.5000  5 Li 2.62-2.71, 2 Zn 2.92-2.93
Li 0.8321 0.5000 0.1683  5 Li 2.62-2.71, 2 Zn 2.92-2.93
Li 0.5000 0.1680 0.8320  5 Li 2.62-2.71, 2 Zn 2.93
Li 0.1679 0.8317 0.5000  5 Li 2.62-2.71, 2 Zn 2.92-2.93
Li 0.5000 0.8320 0.1680  5 Li 2.62-2.71, 2 Zn 2.93
Zn 0.6591 0.6590 0.6590  1 Zn 2.59, 1 Cd 2.77
Zn 0.3409 0.3410 0.3410  1 Zn 2.59, 1 Cd 2.77
Cd 0.0000 0.0000 0.0000  2 Zn 2.77, 12 Li 2.97

=====

No. 9
Li3Zn2Cd3 | PBE | optimized geometry

**Calculated total energy**: -1.56 eV/atom
**Formation enthalpy at 0 K**: -176 meV per atom
**Space group**: P-1

abc: 3.4773 4.4166 9.4418
angles: 77.14 79.49 90.18
Last column: nearest neighbours and their distance in Å.
Positions (direct):
Li 0.8676 0.3689 0.2624  3 Zn 2.75-3.07, 6 Cd 2.81-2.95
Li 0.1324 0.6311 0.7376  3 Zn 2.75-3.07, 6 Cd 2.81-2.95
Li 0.0000 0.0000 0.0000  8 Cd 2.81-2.91
Zn 0.7511 0.7486 0.5020  3 Li 2.75-3.07, 4 Zn 2.80-2.83, 2 Cd 2.81-2.83
Zn 0.2489 0.2514 0.4980  3 Li 2.75-3.07, 4 Zn 2.80-2.83, 2 Cd 2.81-2.83
Cd 0.3697 0.8720 0.2567  6 Li 2.81-2.91, 4 Zn 2.81-3.12
Cd 0.5000 0.5000 0.0000  8 Li 2.81-2.95
Cd 0.6303 0.1280 0.7433  6 Li 2.81-2.91, 4 Zn 2.81-3.12

=====

No. 10
Li2Zn2Cd5 | PBE | optimized geometry

**Calculated total energy**: -1.28 eV/atom
**Formation enthalpy at 0 K**: -64 meV per atom
**Space group**: Ima2

abc: 7.5255 5.8564 9.5707
angles: 107.82 113.15 90.00
Last column: nearest neighbours and their distance in Å.
Positions (direct):
Li 0.0000 0.0254 0.0000  2 Zn 2.65
Li 0.5000 0.5254 0.0000  2 Zn 2.65
Li 0.1908 0.2871 0.5000  9 Cd 2.87-3.09
Li 0.8092 0.7871 0.5000  9 Cd 2.87-3.09
Zn 0.1792 0.5705 0.0528  1 Zn 2.46, 1 Li 2.65, 1 Cd 2.74
Zn 0.8208 0.5177 0.9472  1 Zn 2.46, 1 Li 2.65, 1 Cd 2.74
Zn 0.3736 0.0705 0.0528  1 Zn 2.46, 1 Li 2.65, 1 Cd 2.74
Zn 0.6264 0.0177 0.9472  1 Zn 2.46, 1 Li 2.65, 1 Cd 2.74
Cd 0.1478 0.6735 0.7712  2 Zn 2.85-2.86, 4 Cd 2.93-3.10, 4 Li 3.01-3.09
Cd 0.8522 0.9022 0.2288  2 Zn 2.85-2.86, 4 Cd 2.93-3.10, 4 Li 3.01-3.09
Cd 0.1235 0.1735 0.7712  2 Zn 2.85-2.86, 4 Cd 2.93-3.10, 4 Li 3.01-3.09
Cd 0.8765 0.4022 0.2288  2 Zn 2.85-2.86, 4 Cd 2.93-3.10, 4 Li 3.01-3.09
Cd 0.4244 0.9407 0.3186  2 Zn 2.74-2.76, 4 Cd 2.94-3.05, 1 Li 3.04
Cd 0.5756 0.6221 0.6814  2 Zn 2.74-2.76, 4 Cd 2.94-3.05, 1 Li 3.04
Cd 0.3942 0.4407 0.3186  2 Zn 2.74-2.76, 4 Cd 2.94-3.05, 1 Li 3.04
Cd 0.6058 0.1221 0.6814  2 Zn 2.74-2.76, 4 Cd 2.94-3.05, 1 Li 3.04
Cd 0.1989 0.7968 0.5000  3 Li 2.87-2.99, 8 Cd 3.05-3.13
Cd 0.8011 0.2968 0.5000  3 Li 2.87-2.99, 8 Cd 3.05-3.13

=====

No. 11
Li2ZnCd6 | PBE | optimized geometry

**Calculated total energy**: -1.31 eV/atom
**Formation enthalpy at 0 K**: -129 meV per atom
**Space group**: C2/m

abc: 4.8025 4.8171 8.7838
angles: 90.20 90.00 119.90
Last column: nearest neighbours and their distance in Å.
Positions (direct):
Li 0.6666 0.3332 0.7239  8 Cd 2.84-2.99
Li 0.3334 0.6668 0.2761  8 Cd 2.84-2.99
Zn 0.0000 0.0000 0.5000  8 Cd 2.79-2.92
Cd 0.3333 0.6666 0.9373  7 Cd 2.97-2.99, 1 Li 2.98
Cd 0.6667 0.3334 0.0627  7 Cd 2.97-2.99, 1 Li 2.98
Cd 0.9999 0.9998 0.1822  1 Zn 2.79, 3 Li 2.90, 3 Cd 2.97
Cd 0.6666 0.3332 0.4004  4 Li 2.84-2.99, 3 Zn 2.91-2.92, 1 Cd 2.97
Cd 0.0001 0.0002 0.8178  1 Zn 2.79, 3 Li 2.90, 3 Cd 2.97
Cd 0.3334 0.6668 0.5996  4 Li 2.84-2.99, 3 Zn 2.91-2.92, 1 Cd 2.97

=====

No. 12
LiZn10Cd | PBE | optimized geometry

**Calculated total energy**: -1.29 eV/atom
**Formation enthalpy at 0 K**: 9 meV per atom
**Space group**: Pmmm

abc: 4.3466 5.0856 9.0876
angles: 90.00 90.00 90.00
Last column: nearest neighbours and their distance in Å.
Positions (direct):
Li 0.0000 0.5000 0.5000  6 Zn 2.93-2.97
Zn 0.0000 0.0000 0.3394  7 Zn 2.62-2.92, 2 Li 2.93
Zn 0.0000 0.5000 0.8272  6 Zn 2.62-2.68
Zn 0.0000 0.5000 0.1727  6 Zn 2.62-2.68
Zn 0.0000 0.0000 0.6606  7 Zn 2.62-2.92, 2 Li 2.93
Zn 0.5000 0.0000 0.5000  8 Zn 2.57-2.62
Zn 0.5000 0.5000 0.0000  8 Zn 2.64-2.68
Zn 0.5000 0.2531 0.2551  8 Zn 2.51-2.64
Zn 0.5000 0.7469 0.7449  8 Zn 2.51-2.64
Zn 0.5000 0.7469 0.2551  8 Zn 2.51-2.64
Zn 0.5000 0.2531 0.7449  8 Zn 2.51-2.64
Cd 0.0000 0.0000 0.0000  10 Zn 2.99-3.35

=====

Question: Which value of calculated total energy does entry 12 give?
Answer: -1.29 eV/atom

=====

Question: Which of these has the lowest formation enthalpy at 0 K?
Answer: number 1

=====

Question: Which of these has the lowest calculated total energy?
Answer: Li6Zn2Cd

=====

Question: Number 1 is which compound?
Answer: Li2ZnCd